Entry 1:
The following is a DFT calculation (PBE) of a relaxed LuThMgTi crystal.

energy of formation from the pure elements	0.15	eV per atom
M_tot	0.31	μB per atom
crystal system	cubic
final energy	-20.8	eV per cell

Unit cell a=5.226 b=5.226 c=5.226 alpha=60.00 beta=60.00 gamma=60.00
Fractional coordinates of all 4 atoms:
Lu (0.000, 0.000, 0.000)
Th (0.500, 0.500, 0.500)
Mg (0.250, 0.250, 0.250)
Ti (0.750, 0.750, 0.750)

***

Entry 2:
The following is a DFT calculation (PBE) of a relaxed LuThMgTl crystal.

energy of formation from the pure elements	-0.06	eV per atom
M_tot	0.00	μB per atom
crystal system	cubic
final energy	-16.2	eV per cell

Unit cell a=5.375 b=5.375 c=5.375 alpha=60.00 beta=60.00 gamma=60.00
Fractional coordinates of all 4 atoms:
Lu (0.000, 0.000, 0.000)
Th (0.500, 0.500, 0.500)
Mg (0.750, 0.750, 0.750)
Tl (0.250, 0.250, 0.250)